Computed, not measured: a geometry-optimized YTa2Pb structure at the GGA-PBEsol level of DFT.

Unit cell a=4.1801 b=4.1801 c=4.8346 alpha=90.00 beta=90.00 gamma=90.00
Atoms (fractional coordinates):
Y (0.0000, 0.0000, 0.0000)
Ta (0.0000, 0.5000, 0.5000)
Ta (0.5000, 0.0000, 0.5000)
Pb (0.5000, 0.5000, 0.0000)

Calculated values
E_form ... 1.14 eV/f.u.
Fermi-level density of states ... 3.269 states/eV/f.u.
Size of the total moment ... 0.000 μB per cell



Computed, not measured: a geometry-optimized YTa2Pb structure at the GGA-PBEsol level of DFT.

Unit cell a=3.0261 b=4.8477 c=5.9667 alpha=90.00 beta=90.00 gamma=90.00
Atoms (fractional coordinates):
Y (0.0000, 0.0000, 0.0000)
Ta (0.5000, 0.5000, 0.2361)
Ta (0.5000, 0.5000, 0.7639)
Pb (0.0000, 0.0000, 0.5000)

Calculated values
E_form ... 2.20 eV/f.u.
Fermi-level density of states ... 4.875 states/eV/f.u.
Size of the total moment ... 0.000 μB per cell